Entry 1:
Below is a geometry-optimized CoTc2Pt structure, with properties calculated at the GGA-PBEsol level.

The structure in POSCAR format:
```
CoTc2Pt
1.0
-2.131 -1.216 -0.951
-0.220 -2.066 3.136
-3.126 3.727 2.237
Co Pt Tc
1 1 2
Direct
0.000 0.000 0.486
0.500 0.500 0.742
0.000 0.000 0.009
0.500 0.500 0.262
```

- DOS at the Fermi energy: 4.72 states/eV per cell
- Energy of formation from the pure elements: -32 meV per atom
- Calculated volume: 13.25 Å³/atom
- Distance to the lowest polymorph of the same formula: 0.000 eV per atom
- Energy: -9.340 eV/atom

Entry 2:
Below is a geometry-optimized Al2P6Pb5 structure, with properties calculated at the GGA-PBEsol level.

The structure in POSCAR format:
```
Al2P6Pb5
1.0
4.052 0.000 0.000
0.000 6.678 0.000
0.000 0.000 22.047
Al P Pb
4 12 10
Direct
0.500 0.715 0.884
0.500 0.285 0.116
0.500 0.215 0.616
0.500 0.785 0.384
0.500 0.670 0.493
0.500 0.330 0.507
0.500 0.170 0.007
0.500 0.830 0.993
0.500 0.500 0.317
0.500 0.500 0.683
0.500 0.000 0.183
0.500 0.000 0.817
0.000 0.524 0.866
0.000 0.476 0.134
0.000 0.024 0.634
0.000 0.976 0.366
0.000 0.500 0.000
0.000 0.000 0.500
0.000 0.286 0.751
0.000 0.714 0.249
0.000 0.786 0.749
0.000 0.214 0.251
0.000 0.894 0.095
0.000 0.106 0.905
0.000 0.394 0.405
0.000 0.606 0.595
```

- DOS at the Fermi energy: 4.81 states/eV per cell
- Energy of formation from the pure elements: -31 meV per atom
- Calculated volume: 22.94 Å³/atom
- Energy: -4.871 eV/atom

Entry 3:
Below is a geometry-optimized SrTl2Re structure, with properties calculated at the GGA-PBEsol level.

The structure in POSCAR format:
```
SrTl2Re
1.0
-0.715 1.833 -2.450
-4.460 -0.504 0.924
2.816 5.099 5.008
Re Sr Tl
1 1 2
Direct
0.491 0.491 0.981
0.184 0.684 0.368
0.001 0.001 0.001
0.825 0.325 0.650
```

- DOS at the Fermi energy: 2.22 states/eV per cell
- Energy of formation from the pure elements: 539 meV per atom
- Calculated volume: 25.78 Å³/atom
- Energy: -4.569 eV/atom

Entry 4:
Below is a geometry-optimized LiTaP2 structure, with properties calculated at the GGA-PBEsol level.

The structure in POSCAR format:
```
LiTaP2
1.0
-3.294 0.629 -0.063
-0.510 -2.369 3.057
2.323 3.453 2.340
P Ta Li
2 1 1
Direct
0.026 0.128 0.051
0.216 0.602 0.431
0.501 0.632 0.002
0.757 0.139 0.515
```

- DOS at the Fermi energy: 1.60 states/eV per cell
- Energy of formation from the pure elements: -452 meV per atom
- Calculated volume: 14.50 Å³/atom
- Distance to the lowest polymorph of the same formula: 0.118 eV per atom
- Energy: -6.977 eV/atom

Entry 5:
Below is a geometry-optimized ZrInSb2 structure, with properties calculated at the GGA-PBEsol level.

The structure in POSCAR format:
```
ZrInSb2
1.0
-1.104 -3.734 -0.735
4.008 -1.346 0.819
-0.788 1.190 5.816
Sb Zr In
2 1 1
Direct
0.113 0.000 0.226
0.395 0.500 0.789
0.828 0.000 0.656
0.645 0.500 0.289
```

- DOS at the Fermi energy: 1.46 states/eV per cell
- Calculated volume: 24.11 Å³/atom
- ΔE_f (raw): -0.3863 eV/atom
- Energy: -5.683 eV/atom

Entry 6:
Below is a geometry-optimized La3HgO structure, with properties calculated at the GGA-PBEsol level.

The structure in POSCAR format:
```
La3HgO
1.0
-1.487 4.754 0.088
-4.755 -1.487 -0.008
0.019 -0.086 4.981
Hg O La
1 1 3
Direct
0.500 0.500 0.500
0.000 0.000 0.000
0.000 0.500 0.000
0.000 0.000 0.500
0.500 0.000 0.000
```

- DOS at the Fermi energy: 3.57 states/eV per cell
- Calculated volume: 24.73 Å³/atom
- ΔE_f (raw): -1.4199 eV/atom
- Energy: -5.791 eV/atom

Entry 7:
Below is a geometry-optimized CsHf2WF structure, with properties calculated at the GGA-PBEsol level.

The structure in POSCAR format:
```
CsHf2WF
1.0
-1.310 -3.224 -3.926
1.444 -4.124 2.904
-4.524 -0.330 1.780
Cs Hf W F
1 2 1 1
Direct
0.000 0.000 0.000
0.000 0.500 0.000
0.500 0.000 0.000
0.000 0.000 0.500
0.500 0.500 0.500
```

- DOS at the Fermi energy: 4.58 states/eV per cell
- Calculated volume: 26.82 Å³/atom
- ΔE_f (raw): 2.7828 eV/atom
- Energy: -4.754 eV/atom

Entry 8:
Below is a geometry-optimized CuWSe2N structure, with properties calculated at the GGA-PBEsol level.

The structure in POSCAR format:
```
CuWSe2N
1.0
3.428 0.000 0.000
0.000 4.809 0.000
0.000 0.000 4.809
Cu Se W N
1 2 1 1
Direct
0.000 0.000 0.000
0.000 0.000 0.500
0.000 0.500 0.000
0.500 0.500 0.500
0.500 0.000 0.000
```

- DOS at the Fermi energy: 3.86 states/eV per cell
- Calculated volume: 15.85 Å³/atom
- ΔE_f (raw): 1.2623 eV/atom
- Energy: -5.611 eV/atom

Entry 9:
Below is a geometry-optimized KLa2Pb2 structure, with properties calculated at the GGA-PBEsol level.

The structure in POSCAR format:
```
KLa2Pb2
1.0
-1.015 0.266 -3.397
-3.994 -8.925 0.494
-8.490 3.957 2.849
Pb K La
4 2 4
Direct
0.000 0.336 0.836
0.000 0.836 0.664
0.000 0.664 0.164
0.000 0.164 0.336
0.000 0.000 0.000
0.000 0.500 0.500
0.500 0.132 0.632
0.500 0.632 0.868
0.500 0.868 0.368
0.500 0.368 0.132
```

- DOS at the Fermi energy: 9.13 states/eV per cell
- Energy of formation from the pure elements: -421 meV per atom
- Calculated volume: 34.08 Å³/atom
- Energy: -4.385 eV/atom

Entry 10:
Below is a geometry-optimized Cs2Sc2Ge structure, with properties calculated at the GGA-PBEsol level.

The structure in POSCAR format:
```
Cs2Sc2Ge
1.0
-4.192 1.160 0.397
-1.001 -4.054 1.278
4.060 3.796 7.759
Cs Sc Ge
2 2 1
Direct
0.250 0.750 0.500
0.750 0.250 0.500
0.430 0.430 0.860
0.570 0.570 0.140
0.000 0.000 0.000
```

- DOS at the Fermi energy: 5.77 states/eV per cell
- Energy of formation from the pure elements: 865 meV per atom
- Calculated volume: 34.45 Å³/atom
- Energy: -3.142 eV/atom

Entry 11:
Below is a geometry-optimized MgPRhF2 structure, with properties calculated at the GGA-PBEsol level.

The structure in POSCAR format:
```
MgPRhF2
1.0
-3.446 -1.267 1.748
-0.637 -2.549 -3.103
2.362 -3.325 2.246
P Mg Rh F
1 1 1 2
Direct
0.000 0.000 0.500
0.500 0.500 0.500
0.000 0.000 0.000
0.000 0.500 0.000
0.500 0.000 0.000
```

- DOS at the Fermi energy: 2.45 states/eV per cell
- Calculated volume: 15.39 Å³/atom
- ΔE_f (raw): -0.8772 eV/atom
- Energy: -4.778 eV/atom

Entry 12:
Below is a geometry-optimized Sr2MgBr structure, with properties calculated at the GGA-PBEsol level.

The structure in POSCAR format:
```
Sr2MgBr
1.0
4.049 0.000 0.000
0.000 5.392 0.016
-2.025 -0.028 6.681
Br Mg Sr
1 1 2
Direct
0.504 0.626 0.008
0.728 0.124 0.456
0.997 0.126 0.995
0.271 0.624 0.541
```

- DOS at the Fermi energy: 2.54 states/eV per cell
- Calculated volume: 36.47 Å³/atom
- ΔE_f (raw): -0.6202 eV/atom
- Distance to the lowest polymorph of the same formula: 0.000 eV per atom
- Energy: -2.437 eV/atom

Question: What is the calculated volume in the ninth record?
Answer: 34.08 Å³/atom

Question: Which of these has the lowest calculated volume?
Answer: CoTc2Pt

Question: DOS at the Fermi energy of number 8 (CuWSe2N)?
Answer: 3.86 states/eV per cell